No. 1
Computed, not measured: crystalline Tb2Pm4PrSm2 at its relaxed geometry at the PBE level of DFT.

Values from the calculation:
The value obtained for the density is 7.30 Mg/m³. The calculation puts the formation energy at 0.015 eV/atom. The value obtained for the volume is 33.85 A^3/atom. The calculation puts the magnetization at 0.000 μB per formula unit.

a = 8.124 Å, b = 8.124 Å, c = 8.114 Å
α = 107.55°, β = 107.55°, γ = 36.87°
Element x y z (fractional)
Tb 0.168 0.168 0.499
Tb 0.832 0.832 0.501
Pm 0.055 0.055 0.833
Pm 0.277 0.277 0.168
Pm 0.723 0.723 0.832
Pm 0.945 0.945 0.167
Pr 0.500 0.500 0.500
Sm 0.388 0.388 0.833
Sm 0.612 0.612 0.167

---

No. 2
Computed, not measured: crystalline NaPd4Pb3 at its relaxed geometry at the PBE level of DFT.

Values from the calculation:
The value obtained for the density is 10.71 Mg/m³. The calculation puts the formation energy at -0.239 eV/atom. The value obtained for the volume is 20.75 A^3/atom. The calculation puts the magnetization at 0.000 μB per formula unit.

a = 8.926 Å, b = 5.716 Å, c = 6.507 Å
α = 90.00°, β = 90.00°, γ = 90.00°
Element x y z (fractional)
Na 0.000 0.115 0.000
Na 0.500 0.885 0.500
Pd 0.000 0.415 0.612
Pd 0.000 0.589 0.164
Pd 0.248 0.102 0.711
Pd 0.252 0.898 0.211
Pd 0.500 0.411 0.664
Pd 0.500 0.585 0.112
Pd 0.748 0.898 0.211
Pd 0.752 0.102 0.711
Pb 0.000 0.911 0.491
Pb 0.234 0.623 0.842
Pb 0.266 0.377 0.342
Pb 0.500 0.089 0.991
Pb 0.734 0.377 0.342
Pb 0.766 0.623 0.842

---

No. 3
Computed, not measured: crystalline Fe2CuMo at its relaxed geometry at the PBE level of DFT.

Values from the calculation:
The value obtained for the density is 8.68 Mg/m³. The calculation puts the formation energy at 0.305 eV/atom. The value obtained for the volume is 12.96 A^3/atom. The calculation puts the magnetization at 4.546 μB per formula unit.

a = 2.842 Å, b = 4.224 Å, c = 4.320 Å
α = 90.00°, β = 90.00°, γ = 90.00°
Element x y z (fractional)
Fe 0.000 0.000 0.000
Fe 0.500 0.000 0.500
Cu 0.000 0.500 0.500
Mo 0.500 0.500 0.000

---

No. 4
Computed, not measured: crystalline YGa2Os at its relaxed geometry at the PBE level of DFT.

Values from the calculation:
The value obtained for the density is 10.08 Mg/m³. The calculation puts the formation energy at -0.287 eV/atom. The value obtained for the volume is 17.24 A^3/atom. The calculation puts the magnetization at 0.000 μB per formula unit.

a = 4.603 Å, b = 4.603 Å, c = 4.603 Å
α = 60.00°, β = 60.00°, γ = 60.00°
Element x y z (fractional)
Y 0.000 0.000 0.000
Ga 0.250 0.250 0.250
Ga 0.750 0.750 0.750
Os 0.500 0.500 0.500

---

No. 5
Computed, not measured: crystalline Sc6Cd2CO at its relaxed geometry at the PBE level of DFT.

Values from the calculation:
The value obtained for the density is 4.72 Mg/m³. The value obtained for the volume is 18.38 A^3/atom. As for the raw formation energy: -975 meV per atom. The calculation puts the magnetization at 0.000 μB per formula unit.

a = 6.382 Å, b = 6.382 Å, c = 6.382 Å
α = 60.00°, β = 60.00°, γ = 60.00°
Element x y z (fractional)
Sc 0.248 0.248 0.752
Sc 0.248 0.752 0.248
Sc 0.248 0.752 0.752
Sc 0.752 0.248 0.248
Sc 0.752 0.248 0.752
Sc 0.752 0.752 0.248
Cd 0.250 0.250 0.250
Cd 0.750 0.750 0.750
C 0.000 0.000 0.000
O 0.500 0.500 0.500

---

No. 6
Computed, not measured: crystalline K2SnRhCl at its relaxed geometry at the PBE level of DFT.

Values from the calculation:
The value obtained for the density is 3.56 Mg/m³. The value obtained for the volume is 31.24 A^3/atom. As for the raw formation energy: -24 meV per atom. The calculation puts the magnetization at 0.211 μB per formula unit.

a = 5.822 Å, b = 5.822 Å, c = 4.608 Å
α = 90.00°, β = 90.00°, γ = 90.00°
Element x y z (fractional)
K 0.000 0.500 0.000
K 0.500 0.000 0.000
Sn 0.000 0.000 0.500
Rh 0.500 0.500 0.500
Cl 0.500 0.500 0.000

---

Q: Which of these has the highest magnetization?
A: Fe2CuMo